(1)
Material: LiSmHo2
Method: DFT, GGA-PBE
State: relaxed

a b c (Å): 7.774 7.774 7.774
angles (deg): 90.00 90.00 90.00
Space group Fm-3m (No. 225)
Asymmetric unit:
Li 0.000 0.000 0.000 (multiplicity 4)
Sm 0.000 0.000 0.500 (multiplicity 4)
Ho 0.250 0.250 0.250 (multiplicity 8)

Values from the calculation:
For the calculated volume, the calculation gives 29.4 Å³ per atom. The excess energy over the best structure of this formula in the dataset is 0.129 eV per atom. The value obtained for the formation energy is 203 meV/atom.



(2)
Material: Tb4Ho3Tm3
Method: DFT, GGA-PBE
State: relaxed

a b c (Å): 3.701 12.981 12.991
angles (deg): 90.00 90.00 90.00
Space group Amm2 (No. 38)
Asymmetric unit:
Tb 0.000 0.000 0.000 (multiplicity 2)
Tb 0.000 0.000 0.258 (multiplicity 2)
Tb 0.000 0.129 0.630 (multiplicity 4)
Ho 0.500 0.000 0.459 (multiplicity 2)
Ho 0.500 0.170 0.129 (multiplicity 4)
Tm 0.000 0.249 0.879 (multiplicity 4)
Tm 0.500 0.000 0.799 (multiplicity 2)

Values from the calculation:
For the calculated volume, the calculation gives 31.2 Å³ per atom. The value obtained for the formation energy is 100 meV/atom.



(3)
Material: Ti2PtAu
Method: DFT, GGA-PBE
State: relaxed

a b c (Å): 5.639 7.977 2.877
angles (deg): 90.00 90.00 90.00
Space group Cmmm (No. 65)
Asymmetric unit:
Ti 0.250 0.250 0.000 (multiplicity 4)
Pt 0.000 0.000 0.500 (multiplicity 2)
Au 0.000 0.500 0.500 (multiplicity 2)

Values from the calculation:
For the calculated volume, the calculation gives 16.2 Å³ per atom. The value obtained for the formation energy is -608 meV/atom.



(4)
Material: PmY2Au4
Method: DFT, GGA-PBE
State: relaxed

a b c (Å): 7.344 9.775 5.039
angles (deg): 90.00 90.00 90.00
Space group Cmmm (No. 65)
Asymmetric unit:
Pm 0.000 0.000 0.000 (multiplicity 2)
Y 0.000 0.287 0.500 (multiplicity 4)
Au 0.210 0.000 0.500 (multiplicity 4)
Au 0.250 0.250 0.000 (multiplicity 4)

Values from the calculation:
For the calculated volume, the calculation gives 25.8 Å³ per atom. The value obtained for the formation energy is -694 meV/atom.



(5)
Material: KCa2Mg
Method: DFT, GGA-PBE
State: relaxed

a b c (Å): 5.447 5.447 5.517
angles (deg): 90.00 90.00 90.00
Space group P4/mmm (No. 123)
Asymmetric unit:
K 0.000 0.000 0.000 (multiplicity 1)
Ca 0.000 0.500 0.500 (multiplicity 2)
Mg 0.500 0.500 0.000 (multiplicity 1)

Values from the calculation:
For the calculated volume, the calculation gives 40.9 Å³ per atom. The value obtained for the formation energy is 183 meV/atom.



(6)
Material: YBe2Cr2
Method: DFT, GGA-PBE
State: relaxed

a b c (Å): 4.130 4.130 8.452
angles (deg): 90.00 90.00 90.00
Space group I4/mmm (No. 139)
Asymmetric unit:
Y 0.000 0.000 0.000 (multiplicity 2)
Be 0.000 0.500 0.250 (multiplicity 4)
Cr 0.000 0.000 0.383 (multiplicity 4)

Values from the calculation:
For the calculated volume, the calculation gives 14.4 Å³ per atom. The excess energy over the best structure of this formula in the dataset is 0.000 eV per atom. The value obtained for the formation energy is 367 meV/atom.



(7)
Material: Pm4Nd3Er4
Method: DFT, GGA-PBE
State: relaxed

a b c (Å): 10.741 5.743 12.086
angles (deg): 90.00 90.00 90.00
Space group Amm2 (No. 38)
Asymmetric unit:
Pm 0.000 0.000 0.000 (multiplicity 2)
Pm 0.212 0.000 0.793 (multiplicity 4)
Pm 0.500 0.000 0.925 (multiplicity 2)
Nd 0.000 0.000 0.294 (multiplicity 2)
Nd 0.291 0.000 0.450 (multiplicity 4)
Er 0.000 0.000 0.596 (multiplicity 2)
Er 0.302 0.000 0.145 (multiplicity 4)
Er 0.500 0.000 0.652 (multiplicity 2)

Values from the calculation:
For the calculated volume, the calculation gives 33.9 Å³ per atom. The excess energy over the best structure of this formula in the dataset is 0.136 eV per atom. The value obtained for the formation energy is 152 meV/atom.



(8)
Material: Cr2MoW
Method: DFT, GGA-PBE
State: relaxed

a b c (Å): 6.758 6.758 5.223
angles (deg): 90.00 90.00 90.00
Space group I-42d (No. 122)
Asymmetric unit:
Cr 0.247 0.250 0.125 (multiplicity 8)
Mo 0.000 0.000 0.000 (multiplicity 4)
W 0.000 0.000 0.500 (multiplicity 4)

Values from the calculation:
For the calculated volume, the calculation gives 14.9 Å³ per atom. The value obtained for the formation energy is 880 meV/atom.



(9)
Material: MgAsCl2
Method: DFT, GGA-PBE
State: relaxed

a b c (Å): 6.133 7.944 4.717
angles (deg): 90.00 130.06 90.00
Space group C2/m (No. 12)
Asymmetric unit:
Mg 0.000 0.000 0.000 (multiplicity 2)
As 0.000 0.500 0.000 (multiplicity 2)
Cl 0.250 0.250 0.500 (multiplicity 4)

Values from the calculation:
For the calculated volume, the calculation gives 22.0 Å³ per atom. The excess energy over the best structure of this formula in the dataset is 0.372 eV per atom.



(10)
Material: LaGeSe2N
Method: DFT, GGA-PBE
State: relaxed

a b c (Å): 5.841 5.841 4.246
angles (deg): 90.00 90.00 90.00
Space group P4/mmm (No. 123)
Asymmetric unit:
La 0.000 0.000 0.000 (multiplicity 1)
Ge 0.500 0.500 0.500 (multiplicity 1)
Se 0.000 0.500 0.000 (multiplicity 2)
N 0.000 0.000 0.500 (multiplicity 1)

Values from the calculation:
For the calculated volume, the calculation gives 29.0 Å³ per atom. The excess energy over the best structure of this formula in the dataset is 0.706 eV per atom.



(11)
Material: Ac3P2Pt9
Method: DFT, GGA-PBE
State: relaxed

a b c (Å): 6.2944 6.2944 16.4980
angles (deg): 90.00 90.00 120.00
Space group P6_3/mmc (No. 194)
Asymmetric unit:
Ac 0.0000 0.0000 0.2500 (multiplicity 2)
Ac 0.3333 0.6667 0.0800 (multiplicity 4)
P 0.3333 0.6667 0.6436 (multiplicity 4)
Pt 0.0121 0.5061 0.2500 (multiplicity 6)
Pt 0.1491 0.2982 0.5735 (multiplicity 12)

Values from the calculation:
For the calculated volume, the calculation gives 20.2 Å³ per atom. The value obtained for the formation energy is -852 meV/atom.



(12)
Material: CeHoCuRh
Method: DFT, GGA-PBE
State: relaxed

a b c (Å): 6.953 6.953 6.953
angles (deg): 90.00 90.00 90.00
Space group F-43m (No. 216)
Asymmetric unit:
Ce 0.000 0.000 0.000 (multiplicity 4)
Ho 0.000 0.000 0.500 (multiplicity 4)
Cu 0.250 0.250 0.250 (multiplicity 4)
Rh 0.250 0.250 0.750 (multiplicity 4)

Values from the calculation:
For the calculated volume, the calculation gives 21.0 Å³ per atom. The value obtained for the formation energy is -462 meV/atom.



- Number 4 is which compound?
  PmY2Au4



- Among the records above, which one has the highest calculated volume?
  KCa2Mg